# TbPm4Sm2Tm

A relaxed structure of TbPm4Sm2Tm (GGA-PBE, Alexandria).

Values from the calculation:
final energy: -68.7 eV for the cell shown
ΔE_f: 0.40 eV/atom

```
TbPm4Sm2Tm
1.0
6.862 -6.652 0.000
6.862 6.652 0.000
-3.423 0.000 5.962
Tb Pm Sm Tm
2 8 4 2
direct
0.000 0.500 0.000 Tb
0.500 0.000 0.500 Tb
0.244 0.753 0.499 Pm
0.246 0.248 0.968 Pm
0.247 0.756 0.001 Pm
0.248 0.246 0.468 Pm
0.752 0.754 0.532 Pm
0.753 0.244 0.999 Pm
0.754 0.752 0.032 Pm
0.756 0.247 0.501 Pm
0.000 0.500 0.500 Sm
0.500 0.000 0.000 Sm
0.500 0.500 0.000 Sm
0.500 0.500 0.500 Sm
0.000 0.000 0.000 Tm
0.000 0.000 0.500 Tm
```